1.
A relaxed structure of LaPuIr, computed with PBE.

```
LaPuIr
1.0
-3.105 1.472 1.178
-4.010 -4.205 0.256
-1.029 -3.240 6.907
La Pu Ir
2 2 2
direct
0.530 0.363 0.528
0.830 0.926 0.368
0.524 0.888 0.016
0.836 0.400 0.880
0.184 0.854 0.729
0.176 0.435 0.167
```

For the volume, the calculation gives 23.0 Å³ per atom. As for the raw total energy: -9.69 eV/atom. The formation energy comes out at -0.317 eV/atom. Its total magnetization is 0.0001 μB per atom. The excess energy over the best structure of this formula in the dataset is 179 meV per atom.

---

2.
A relaxed structure of La2PuIr9, computed with PBE.

```
La2PuIr9
1.0
5.358 0.000 0.000
2.679 4.640 0.000
2.679 1.547 8.939
La Pu Ir
2 1 9
direct
0.860 0.860 0.419
0.140 0.140 0.581
0.000 0.000 0.000
0.668 0.668 0.997
0.332 0.332 0.003
0.500 0.500 0.500
0.422 0.422 0.240
0.917 0.422 0.240
0.422 0.917 0.240
0.578 0.578 0.760
0.578 0.083 0.760
0.083 0.578 0.760
```

For the volume, the calculation gives 18.5 Å³ per atom. As for the raw total energy: -9.13 eV/atom. The formation energy comes out at -0.465 eV/atom. Its total magnetization is 0.3650 μB per atom.

---

3.
A relaxed structure of LaPuIr, computed with PBE.

```
LaPuIr
1.0
3.655 0.000 0.000
0.000 3.655 0.000
-1.827 -1.827 5.619
Ir Pu La
1 1 1
direct
0.682 0.682 0.365
0.300 0.300 0.599
0.018 0.018 0.036
```

For the volume, the calculation gives 25.0 Å³ per atom. As for the raw total energy: -9.69 eV/atom. The formation energy comes out at -0.314 eV/atom. Its total magnetization is 1.9025 μB per atom. The excess energy over the best structure of this formula in the dataset is 181 meV per atom.

---

4.
A relaxed structure of La2PuIr, computed with PBE.

```
La2PuIr
1.0
3.948 0.000 0.000
1.974 3.419 0.000
1.974 1.140 10.457
Ir La Pu
1 2 1
direct
0.500 0.500 0.500
0.113 0.113 0.662
0.887 0.887 0.338
0.000 0.000 0.000
```

For the volume, the calculation gives 35.3 Å³ per atom. As for the raw total energy: -8.29 eV/atom. The formation energy comes out at -0.026 eV/atom. Its total magnetization is 1.7085 μB per atom. The excess energy over the best structure of this formula in the dataset is 165 meV per atom.

---

5.
A relaxed structure of LaPuIr, computed with PBE.

```
LaPuIr
1.0
6.780 0.000 3.094
2.462 7.682 3.580
0.070 0.196 8.823
La Pu Ir
6 6 6
direct
0.170 0.041 0.541
0.753 0.959 0.459
0.336 0.750 0.250
0.336 0.250 0.750
0.753 0.459 0.959
0.170 0.541 0.041
0.004 0.000 0.000
0.004 0.500 0.500
0.753 0.375 0.375
0.502 0.625 0.625
0.502 0.125 0.125
0.753 0.875 0.875
0.755 0.250 0.750
0.755 0.750 0.250
0.086 0.167 0.167
0.420 0.833 0.833
0.420 0.333 0.333
0.086 0.667 0.667
```

For the volume, the calculation gives 25.3 Å³ per atom. As for the raw total energy: -9.87 eV/atom. The formation energy comes out at -0.495 eV/atom. Its total magnetization is 1.9429 μB per atom. The excess energy over the best structure of this formula in the dataset is 0 meV per atom.

---

6.
A relaxed structure of La3PuIr3, computed with PBE.

```
La3PuIr3
1.0
-1.691 -3.278 4.887
-3.025 -2.866 -6.636
6.946 -4.726 -0.630
La Pu Ir
6 2 6
direct
0.721 0.676 0.869
0.724 0.181 0.886
0.721 0.192 0.376
0.279 0.324 0.131
0.276 0.819 0.114
0.279 0.808 0.624
0.241 0.284 0.633
0.759 0.716 0.367
0.173 0.519 0.861
0.181 0.043 0.875
0.189 0.048 0.379
0.827 0.481 0.139
0.819 0.957 0.125
0.811 0.952 0.621
```

For the volume, the calculation gives 26.7 Å³ per atom. As for the raw total energy: -8.54 eV/atom. The formation energy comes out at -0.582 eV/atom. Its total magnetization is 0.7837 μB per atom.

---

7.
A relaxed structure of LaPu2Ir, computed with PBE.

```
LaPu2Ir
1.0
3.801 0.000 0.000
1.900 3.292 0.000
1.900 1.097 9.455
Ir La Pu
1 1 2
direct
0.500 0.500 0.500
0.000 0.000 0.000
0.108 0.108 0.676
0.892 0.892 0.324
```

For the volume, the calculation gives 29.6 Å³ per atom. As for the raw total energy: -10.58 eV/atom. The formation energy comes out at 0.033 eV/atom. Its total magnetization is 2.7120 μB per atom.

---

8.
A relaxed structure of La2PuIr, computed with PBE.

```
La2PuIr
1.0
4.067 0.000 0.000
2.033 3.522 0.000
2.033 1.174 9.249
La Pu Ir
2 1 1
direct
0.059 0.059 0.824
0.274 0.274 0.177
0.501 0.501 0.497
0.666 0.666 0.002
```

For the volume, the calculation gives 33.1 Å³ per atom. As for the raw total energy: -8.45 eV/atom. The formation energy comes out at -0.191 eV/atom. Its total magnetization is 1.8003 μB per atom. The excess energy over the best structure of this formula in the dataset is 0 meV per atom.

---

9.
A relaxed structure of LaPuIr, computed with PBE.

```
LaPuIr
1.0
-0.526 -1.656 3.295
-1.367 -1.546 -3.101
10.503 -6.299 -1.489
Pu Ir La
2 2 2
direct
0.667 0.333 0.549
0.333 0.667 0.451
0.667 0.333 0.299
0.333 0.667 0.701
0.667 0.333 0.851
0.333 0.667 0.149
```

For the volume, the calculation gives 24.7 Å³ per atom. As for the raw total energy: -9.47 eV/atom. The formation energy comes out at -0.101 eV/atom. Its total magnetization is 0.0001 μB per atom. The excess energy over the best structure of this formula in the dataset is 394 meV per atom.

---

10.
A relaxed structure of LaPuIr, computed with PBE.

```
LaPuIr
1.0
-1.666 1.019 2.303
0.528 -4.365 2.313
3.295 3.636 0.775
Ir La Pu
1 1 1
direct
0.334 0.667 0.333
0.833 0.000 0.000
0.833 0.333 0.667
```

For the volume, the calculation gives 21.5 Å³ per atom. As for the raw total energy: -9.42 eV/atom. The formation energy comes out at -0.043 eV/atom. Its total magnetization is 1.7263 μB per atom. The excess energy over the best structure of this formula in the dataset is 452 meV per atom.

---

11.
A relaxed structure of LaPuIr4, computed with PBE.

```
LaPuIr4
1.0
5.420 0.000 0.000
2.710 4.694 0.000
2.710 1.565 4.425
Ir La Pu
4 1 1
direct
0.625 0.625 0.124
0.625 0.124 0.625
0.625 0.625 0.625
0.124 0.625 0.625
0.250 0.250 0.250
0.000 0.000 0.000
```

For the volume, the calculation gives 18.8 Å³ per atom. As for the raw total energy: -9.73 eV/atom. The formation energy comes out at -0.613 eV/atom. Its total magnetization is 0.8014 μB per atom.

---

12.
A relaxed structure of LaPuIrRu, computed with PBE.

```
LaPuIrRu
1.0
4.937 0.000 0.000
2.469 4.276 0.000
2.469 1.425 4.031
Ru Ir La Pu
1 1 1 1
direct
0.750 0.750 0.750
0.250 0.250 0.250
0.500 0.500 0.500
0.000 0.000 0.000
```

For the volume, the calculation gives 21.3 Å³ per atom. As for the raw total energy: -9.59 eV/atom. The formation energy comes out at -0.242 eV/atom. Its total magnetization is 1.0617 μB per atom.

---

13.
A relaxed structure of La2PuSi3Ir4, computed with PBE.

```
La2PuSi3Ir4
1.0
4.214 0.000 0.000
0.000 4.214 0.000
0.000 0.000 10.833
La Pu Si Ir
2 1 3 4
direct
0.500 0.000 0.236
0.000 0.500 0.764
0.500 0.500 0.500
0.000 0.000 0.500
0.500 0.000 0.882
0.000 0.500 0.118
0.500 0.500 0.000
0.000 0.000 0.000
0.500 0.000 0.657
0.000 0.500 0.343
```

For the volume, the calculation gives 19.2 Å³ per atom. Its uncorrected formation energy is -86.8 kJ per mole of atoms. As for the raw total energy: -8.49 eV/atom. Its total magnetization is 0.4915 μB per atom.

---

14.
A relaxed structure of LaPuZnIr, computed with PBE.

```
LaPuZnIr
1.0
-3.426 3.259 1.783
-4.895 -0.634 -1.086
-3.223 -1.447 3.614
Zn Ir La Pu
1 1 1 1
direct
0.000 0.000 0.000
0.500 0.500 0.500
0.250 0.250 0.250
0.750 0.750 0.750
```

For the volume, the calculation gives 22.8 Å³ per atom. As for the raw total energy: -7.69 eV/atom. The formation energy comes out at -0.343 eV/atom. Its total magnetization is 1.3554 μB per atom.

---

15.
A relaxed structure of RbLa3Ir, computed with PBE.

```
RbLa3Ir
1.0
-3.006 0.843 4.474
-4.350 -2.114 -2.525
1.343 -4.958 1.837
Ir Rb La
1 1 3
direct
0.500 0.500 0.500
0.000 0.000 0.000
0.000 0.500 0.000
0.000 0.000 0.500
0.500 0.000 0.000
```

For the volume, the calculation gives 32.5 Å³ per atom. As for the raw total energy: -3.41 eV/atom. The formation energy comes out at 1.509 eV/atom. Its total magnetization is 0.0000 μB per atom. The excess energy over the best structure of this formula in the dataset is 1667 meV per atom.

---

16.
A relaxed structure of RbLa3Ir, computed with PBE.

```
RbLa3Ir
1.0
-0.091 1.953 -5.496
-5.013 -2.837 -0.926
-2.983 4.709 1.723
Ir Rb La
1 1 3
direct
0.000 0.000 0.000
0.500 0.500 0.500
0.000 0.500 0.000
0.000 0.000 0.500
0.500 0.000 0.000
```

For the volume, the calculation gives 39.7 Å³ per atom. As for the raw total energy: -5.08 eV/atom. The formation energy comes out at -0.158 eV/atom. Its total magnetization is 0.0000 μB per atom. The excess energy over the best structure of this formula in the dataset is 0 meV per atom.

---

17.
A relaxed structure of Rb2LaIr, computed with PBE.

```
Rb2LaIr
1.0
-0.957 -5.385 -1.192
-4.619 -1.469 -2.801
0.386 -1.808 -5.284
Ir Rb La
1 2 1
direct
0.500 0.500 0.500
0.250 0.250 0.250
0.750 0.750 0.750
0.000 0.000 0.000
```

For the volume, the calculation gives 31.0 Å³ per atom. As for the raw total energy: -2.82 eV/atom. The formation energy comes out at 1.116 eV/atom. Its total magnetization is 0.0000 μB per atom.

---

18.
A relaxed structure of RbLaIr2, computed with PBE.

```
RbLaIr2
1.0
-1.752 -4.887 0.418
1.368 -0.060 5.025
-8.898 0.853 5.132
Ir Rb La
4 2 2
direct
0.884 0.125 0.250
0.866 0.625 0.250
0.375 0.116 0.750
0.875 0.134 0.750
0.500 0.500 0.000
0.250 0.750 0.500
0.000 0.000 0.000
0.750 0.250 0.500
```

For the volume, the calculation gives 32.6 Å³ per atom. As for the raw total energy: -5.50 eV/atom. The formation energy comes out at 0.407 eV/atom. Its total magnetization is 0.0000 μB per atom. The excess energy over the best structure of this formula in the dataset is 0 meV per atom.

---

19.
A relaxed structure of RbLaIr2, computed with PBE.

```
RbLaIr2
1.0
0.000 3.627 3.627
3.627 0.000 3.627
3.627 3.627 0.000
Ir Rb La
2 1 1
direct
0.250 0.250 0.250
0.750 0.750 0.750
0.000 0.000 0.000
0.500 0.500 0.500
```

For the volume, the calculation gives 23.8 Å³ per atom. As for the raw total energy: -5.29 eV/atom. The formation energy comes out at 0.611 eV/atom. Its total magnetization is 0.0000 μB per atom. The excess energy over the best structure of this formula in the dataset is 203 meV per atom.

---

20.
A relaxed structure of Rb2LaSiIr, computed with PBE.

```
Rb2LaSiIr
1.0
6.244 0.000 0.000
0.000 5.746 0.000
0.000 0.000 6.244
Si Ir Rb La
1 1 2 1
direct
0.000 0.000 0.000
0.500 0.500 0.500
0.000 0.000 0.500
0.500 0.000 0.000
0.000 0.500 0.000
```

For the volume, the calculation gives 44.8 Å³ per atom. Its uncorrected formation energy is 110.1 kJ per mole of atoms. As for the raw total energy: -3.09 eV/atom. Its total magnetization is 0.2839 μB per atom.

---

21.
A relaxed structure of RbSrLa2Ir, computed with PBE.

```
RbSrLa2Ir
1.0
-3.726 0.429 4.300
-2.795 -4.569 -1.966
3.675 -3.782 3.562
Sr Ir Rb La
1 1 1 2
direct
0.000 0.000 0.500
0.000 0.000 0.000
0.500 0.500 0.500
0.000 0.500 0.000
0.500 0.000 0.000
```

For the volume, the calculation gives 41.4 Å³ per atom. As for the raw total energy: -4.44 eV/atom. The formation energy comes out at -0.170 eV/atom. Its total magnetization is 0.0000 μB per atom.

---

22.
A relaxed structure of RbLaTiIr2, computed with PBE.

```
RbLaTiIr2
1.0
-2.155 -4.152 -1.479
3.004 -2.740 3.314
-3.396 0.515 3.503
Ir Ti Rb La
2 1 1 1
direct
0.000 0.000 0.500
0.500 0.000 0.000
0.500 0.500 0.500
0.000 0.000 0.000
0.000 0.500 0.000
```

For the volume, the calculation gives 25.3 Å³ per atom. As for the raw total energy: -4.08 eV/atom. The formation energy comes out at 2.224 eV/atom. Its total magnetization is 0.0016 μB per atom.

---

23.
A relaxed structure of RbLa2YIr, computed with PBE.

```
RbLa2YIr
1.0
5.761 0.000 0.000
0.000 5.761 0.000
0.000 0.000 5.720
Y Ir Rb La
1 1 1 2
direct
0.000 0.000 0.500
0.000 0.000 0.000
0.500 0.500 0.500
0.000 0.500 0.000
0.500 0.000 0.000
```

For the volume, the calculation gives 38.0 Å³ per atom. As for the raw total energy: -5.38 eV/atom. The formation energy comes out at -0.155 eV/atom. Its total magnetization is 0.0000 μB per atom. The excess energy over the best structure of this formula in the dataset is 0 meV per atom.

---

24.
A relaxed structure of RbLa2YIr, computed with PBE.

```
RbLa2YIr
1.0
6.063 0.000 0.000
0.000 5.131 0.000
0.000 0.000 6.063
Y Ir Rb La
1 1 1 2
direct
0.000 0.000 0.000
0.000 0.500 0.000
0.500 0.500 0.500
0.000 0.000 0.500
0.500 0.000 0.000
```

For the volume, the calculation gives 37.7 Å³ per atom. As for the raw total energy: -4.51 eV/atom. The formation energy comes out at 0.723 eV/atom. Its total magnetization is 0.0001 μB per atom. The excess energy over the best structure of this formula in the dataset is 878 meV per atom.

---

25.
A relaxed structure of RbLa2ZnIr, computed with PBE.

```
RbLa2ZnIr
1.0
5.633 0.000 0.000
0.000 5.633 0.000
0.000 0.000 5.219
Zn Ir Rb La
1 1 1 2
direct
0.000 0.000 0.500
0.000 0.000 0.000
0.500 0.500 0.500
0.000 0.500 0.000
0.500 0.000 0.000
```

For the volume, the calculation gives 33.1 Å³ per atom. As for the raw total energy: -4.33 eV/atom. The formation energy comes out at -0.134 eV/atom. Its total magnetization is 0.0000 μB per atom.

---

26.
A relaxed structure of RbLaZrIr2, computed with PBE.

```
RbLaZrIr2
1.0
5.051 0.000 0.000
0.000 4.874 0.000
0.000 0.000 5.051
Ir Rb Zr La
2 1 1 1
direct
0.000 0.000 0.500
0.500 0.000 0.000
0.000 0.000 0.000
0.000 0.500 0.000
0.500 0.500 0.500
```

For the volume, the calculation gives 24.9 Å³ per atom. As for the raw total energy: -4.60 eV/atom. The formation energy comes out at 1.835 eV/atom. Its total magnetization is 0.0000 μB per atom.

---

27.
A relaxed structure of LaReIr2, computed with PBE.

```
LaReIr2
1.0
-0.455 2.762 3.652
0.087 -2.336 1.777
5.494 -0.342 0.944
Ir La Re
2 1 1
direct
0.000 0.108 0.941
0.500 0.100 0.255
0.000 0.536 0.454
0.500 0.755 0.851
```

For the volume, the calculation gives 18.6 Å³ per atom. As for the raw total energy: -8.73 eV/atom. The formation energy comes out at 0.041 eV/atom. Its total magnetization is 0.0000 μB per atom. The excess energy over the best structure of this formula in the dataset is 140 meV per atom.